Run A
CoPAu2 | PBE-GGA | optimized geometry

abc: 3.7337 3.5252 5.0714
angles: 90.00 111.12 90.00
Space group Pm (No. 6)
One atom of each set of equivalent atoms:
1 Co 0.0000 0.0000 0.0000 (multiplicity 1)
2 P 0.8778 0.5000 0.7564 (multiplicity 1)
3 Au 0.2848 0.0000 0.5654 (multiplicity 1)
4 Au 0.6103 0.5000 0.2229 (multiplicity 1)

Summary:
Size of the total moment = 0.000 μB/atom
DOS(E_F) = 1.85 states/eV/f.u.

Run B
CoPAu2 | PBE-GGA | optimized geometry

abc: 3.9438 3.9438 8.1082
angles: 90.00 90.00 90.00
Space group I4/mmm (No. 139)
One atom of each set of equivalent atoms:
1 Co 0.0000 0.0000 0.0000 (multiplicity 2)
2 P 0.0000 0.0000 0.5000 (multiplicity 2)
3 Au 0.0000 0.5000 0.2500 (multiplicity 4)

Summary:
Size of the total moment = 0.420 μB/atom
DOS(E_F) = 5.48 states/eV/f.u.

Run C
CoPAu2 | PBE-GGA | optimized geometry

abc: 2.9570 2.9570 25.3224
angles: 90.00 90.00 120.00
Space group R-3m (No. 166, hexagonal axes)
One atom of each set of equivalent atoms:
1 Co 0.0000 0.0000 0.0000 (multiplicity 3)
2 P 0.0000 0.0000 0.5000 (multiplicity 3)
3 Au 0.0000 0.0000 0.2511 (multiplicity 6)

Summary:
Size of the total moment = 0.485 μB/atom
DOS(E_F) = 2.98 states/eV/f.u.

Going by the energies, run A is most stable and the next is 0.316 eV/atom up.

Run A
CoPAu2 | PBE-GGA | optimized geometry

abc: 2.8054 3.4576 13.1134
angles: 90.00 90.00 90.00
Space group Immm (No. 71)
One atom of each set of equivalent atoms:
1 Co 0.0000 0.0000 0.0000 (multiplicity 2)
2 P 0.0000 0.0000 0.5000 (multiplicity 2)
3 Au 0.0000 0.5000 0.3224 (multiplicity 4)

Summary:
Size of the total moment = 0.000 μB/atom
DOS(E_F) = 2.96 states/eV/f.u.

Run B
CoPAu2 | PBE-GGA | optimized geometry

abc: 7.0652 3.0073 6.1522
angles: 90.00 96.42 90.00
Space group Cm (No. 8)
One atom of each set of equivalent atoms:
1 Co 0.0000 0.0000 0.0000 (multiplicity 2)
2 P 0.2911 0.0000 0.9218 (multiplicity 2)
3 Au 0.2295 0.5000 0.2916 (multiplicity 2)
4 Au 0.4754 0.0000 0.6022 (multiplicity 2)

Summary:
Size of the total moment = 0.000 μB/atom
DOS(E_F) = 2.17 states/eV/f.u.

Going by the energies, run A is most stable and the next is 0.017 eV/atom up.